A plane-wave DFT calculation with PBE was carried out for a relaxed Sr3Zn2BiO6 crystal.

a b c (Å): 6.1220 6.1220 6.6342
angles (deg): 90.00 90.00 120.00
With the nearest neighbours (Å) after each atom.
Fractional positions:
Sr 0.0000 0.0000 0.0000  6 O 2.64
Sr 0.3333 0.6667 0.6136  3 O 2.75, 1 Zn 3.06
Sr 0.6667 0.3333 0.3864  3 O 2.75, 1 Zn 3.06
Zn 0.3333 0.6667 0.1522  3 O 1.96
Zn 0.6667 0.3333 0.8478  3 O 1.96
Bi 0.0000 0.0000 0.5000  6 O 2.28
O 0.1702 0.3403 0.2905  1 Zn 1.96
O 0.1702 0.8298 0.2905  1 Zn 1.96
O 0.3403 0.1702 0.7095  1 Zn 1.96
O 0.6597 0.8298 0.2905  1 Zn 1.96
O 0.8298 0.1702 0.7095  1 Zn 1.96
O 0.8298 0.6597 0.7095  1 Zn 1.96

uncorrected formation energy: -1.683 eV per atom

A plane-wave DFT calculation with PBE was carried out for a relaxed SrAcAg4 crystal.

a b c (Å): 5.9808 5.9808 5.9808
angles (deg): 60.00 60.00 60.00
With the nearest neighbours (Å) after each atom.
Fractional positions:
Sr 0.0000 0.0000 0.0000  12 Ag 3.50, 4 Ac 3.66
Ac 0.7500 0.7500 0.7500  12 Ag 3.51, 4 Sr 3.66
Ag 0.3741 0.3741 0.3741  6 Ag 2.97-3.01
Ag 0.3741 0.3741 0.8777  6 Ag 2.97-3.01
Ag 0.3741 0.8777 0.3741  6 Ag 2.97-3.01
Ag 0.8777 0.3741 0.3741  6 Ag 2.97-3.01

distance to the lowest polymorph of the same formula: 128 meV/atom

A plane-wave DFT calculation with PBE was carried out for a relaxed EuScCdPb crystal.

a b c (Å): 5.3332 5.3332 5.3332
angles (deg): 60.00 60.00 60.00
With the nearest neighbours (Å) after each atom.
Fractional positions:
Eu 0.0000 0.0000 0.0000  4 Cd 3.27, 4 Pb 3.27
Sc 0.5000 0.5000 0.5000  4 Cd 3.27, 4 Pb 3.27
Cd 0.7500 0.7500 0.7500  4 Sc 3.27, 4 Eu 3.27
Pb 0.2500 0.2500 0.2500  4 Sc 3.27, 4 Eu 3.27

electronic total energy: -22.6 eV for the cell shown

A plane-wave DFT calculation with PBE was carried out for a relaxed PaIr2Rh3 crystal.

a b c (Å): 7.2646 7.2646 5.5596
angles (deg): 90.00 90.00 43.00
With the nearest neighbours (Å) after each atom.
Fractional positions:
Pa 0.2079 0.7921 0.7500  6 Rh 2.65-2.81, 4 Ir 2.95
Pa 0.7921 0.2079 0.2500  6 Rh 2.65-2.81, 4 Ir 2.95
Ir 0.3458 0.3458 0.0000  6 Rh 2.69-2.79, 2 Ir 2.78, 2 Pa 2.95
Ir 0.3458 0.3458 0.5000  6 Rh 2.69-2.79, 2 Ir 2.78, 2 Pa 2.95
Ir 0.6542 0.6542 0.0000  6 Rh 2.69-2.79, 2 Ir 2.78, 2 Pa 2.95
Ir 0.6542 0.6542 0.5000  6 Rh 2.69-2.79, 2 Ir 2.78, 2 Pa 2.95
Rh 0.1281 0.2257 0.7500  4 Ir 2.69-2.79, 3 Rh 2.71-2.83, 1 Pa 2.75
Rh 0.2257 0.1281 0.2500  4 Ir 2.69-2.79, 3 Rh 2.71-2.83, 1 Pa 2.75
Rh 0.2897 0.7103 0.2500  4 Pa 2.65-2.81, 2 Rh 2.71, 4 Ir 2.74
Rh 0.7103 0.2897 0.7500  4 Pa 2.65-2.81, 2 Rh 2.71, 4 Ir 2.74
Rh 0.7743 0.8719 0.7500  4 Ir 2.69-2.79, 3 Rh 2.71-2.83, 1 Pa 2.75
Rh 0.8719 0.7743 0.2500  4 Ir 2.69-2.79, 3 Rh 2.71-2.83, 1 Pa 2.75

electronic total energy: -102.2 eV for the cell shown

A plane-wave DFT calculation with PBE was carried out for a relaxed HfCrAu2 crystal.

a b c (Å): 6.1734 6.1734 6.1734
angles (deg): 151.69 134.87 54.14
With the nearest neighbours (Å) after each atom.
Fractional positions:
Hf 0.0000 0.0000 0.0000  4 Cr 2.81, 2 Au 2.81, 2 Hf 3.02
Cr 0.5000 0.5000 0.0000  2 Au 2.69, 4 Hf 2.81
Au 0.2557 0.2557 0.0000  1 Cr 2.69, 1 Hf 2.81, 4 Au 2.81
Au 0.7443 0.7443 0.0000  1 Cr 2.69, 1 Hf 2.81, 4 Au 2.81

distance to the lowest polymorph of the same formula: 675 meV/atom

A plane-wave DFT calculation with PBE was carried out for a relaxed KSrPb2 crystal.

a b c (Å): 9.3062 9.3062 9.3062
angles (deg): 30.92 30.92 30.92
With the nearest neighbours (Å) after each atom.
Fractional positions:
K 0.0000 0.0000 0.0000  3 Pb 3.56
Sr 0.1897 0.1897 0.1897  3 Pb 3.29
Pb 0.4625 0.4625 0.4625  3 Pb 3.15, 3 Sr 3.29
Pb 0.7465 0.7465 0.7465  3 Pb 3.15

distance to the lowest polymorph of the same formula: 140 meV/atom

A plane-wave DFT calculation with PBE was carried out for a relaxed NdGa2NiRu crystal.

a b c (Å): 5.8934 5.8934 5.8934
angles (deg): 138.11 138.11 60.73
With the nearest neighbours (Å) after each atom.
Fractional positions:
Nd 0.0000 0.0000 0.0000  8 Ga 3.26, 4 Ni 3.30, 4 Ru 3.30
Ga 0.3708 0.3708 0.0000  2 Ru 2.44, 2 Ni 2.44, 1 Ga 2.63
Ga 0.6292 0.6292 0.0000  2 Ni 2.44, 2 Ru 2.44, 1 Ga 2.63
Ni 0.7500 0.2500 0.5000  4 Ga 2.44
Ru 0.2500 0.7500 0.5000  4 Ga 2.44

electronic total energy: -28.4 eV for the cell shown

A plane-wave DFT calculation with PBE was carried out for a relaxed AcNd3Tm3 crystal.

a b c (Å): 8.4280 10.9178 10.9203
angles (deg): 92.20 90.04 90.00
With the nearest neighbours (Å) after each atom.
Fractional positions:
Ac 0.0000 0.0000 0.0000  3 Tm 3.46-3.66, 2 Nd 3.50-3.76, 2 Ac 3.66-3.83
Ac 0.0011 0.7480 0.7467  3 Tm 3.46-3.66, 2 Nd 3.51-3.77, 2 Ac 3.66-3.83
Ac 0.1883 0.2026 0.5442  4 Tm 3.55-3.79, 1 Nd 3.65, 1 Ac 3.72
Ac 0.8458 0.0547 0.6934  2 Tm 3.48, 1 Nd 3.62, 3 Ac 3.66-3.72
Nd 0.0045 0.5233 0.9998  4 Nd 3.40-3.53, 6 Tm 3.48-3.68, 1 Ac 3.77
Nd 0.0050 0.7474 0.2245  4 Nd 3.40-3.53, 6 Tm 3.48-3.67, 1 Ac 3.76
Nd 0.2904 0.2880 0.9684  3 Tm 3.33-3.43, 4 Nd 3.53-3.73
Nd 0.2912 0.7788 0.4591  3 Tm 3.33-3.43, 4 Nd 3.52-3.73
Nd 0.3254 0.5395 0.2078  6 Tm 3.36-3.61, 6 Nd 3.53-3.73
Nd 0.4867 0.2418 0.2583  5 Tm 3.27-3.65, 3 Nd 3.37-3.62
Nd 0.4867 0.4891 0.5055  5 Tm 3.28-3.64, 3 Nd 3.37-3.62
Nd 0.5351 0.0123 0.9641  4 Tm 3.36-3.69, 2 Nd 3.47-3.65
Nd 0.5363 0.7825 0.7351  4 Tm 3.36-3.69, 2 Nd 3.47-3.65
Nd 0.7813 0.2821 0.4653  4 Nd 3.28-3.37, 5 Tm 3.46-3.57, 2 Ac 3.62-3.65
Nd 0.8345 0.0319 0.2937  2 Nd 3.28-3.48, 3 Tm 3.33-3.46, 1 Ac 3.50
Nd 0.8344 0.4541 0.7154  2 Nd 3.28-3.48, 3 Tm 3.33-3.47, 1 Ac 3.51
Tm 0.0601 0.2856 0.2255  6 Nd 3.42-3.68, 4 Tm 3.57-3.71, 1 Ac 3.79
Tm 0.0603 0.5218 0.4617  6 Nd 3.42-3.67, 4 Tm 3.57-3.70, 1 Ac 3.79
Tm 0.2755 0.5127 0.7571  3 Nd 3.28-3.50, 3 Tm 3.45-3.62, 1 Ac 3.46
Tm 0.2760 0.9902 0.2344  3 Nd 3.27-3.50, 3 Tm 3.45-3.62, 1 Ac 3.46
Tm 0.2907 0.7525 0.9947  5 Nd 3.36-3.54, 4 Tm 3.38-3.62, 2 Ac 3.64-3.65
Tm 0.5315 0.2595 0.7270  4 Nd 3.33-3.57, 2 Ac 3.48-3.55, 3 Tm 3.50-3.62
Tm 0.5318 0.0204 0.4883  4 Nd 3.33-3.57, 2 Ac 3.48-3.55, 3 Tm 3.50-3.62
Tm 0.5948 0.5531 0.9525  5 Tm 3.38-3.66, 4 Nd 3.43-3.60
Tm 0.5953 0.7949 0.1937  5 Tm 3.38-3.66, 4 Nd 3.42-3.61
Tm 0.7423 0.5011 0.2462  6 Nd 3.46-3.57, 6 Tm 3.51-3.59
Tm 0.7463 0.2719 0.0020  3 Nd 3.36-3.58, 4 Tm 3.39-3.60, 1 Ac 3.66
Tm 0.7464 0.7455 0.4752  3 Nd 3.36-3.58, 4 Tm 3.39-3.60, 1 Ac 3.66

electronic total energy: -122.6 eV for the cell shown

A plane-wave DFT calculation with PBE was carried out for a relaxed HfSe2F crystal.

a b c (Å): 7.7973 7.7973 7.7973
angles (deg): 28.14 28.14 28.14
With the nearest neighbours (Å) after each atom.
Fractional positions:
Hf 0.0000 0.0000 0.0000  6 Se 2.68
Se 0.4020 0.4020 0.4020  1 F 2.20
Se 0.5980 0.5980 0.5980  1 F 2.20
F 0.5000 0.5000 0.5000  2 Se 2.20

distance to the lowest polymorph of the same formula: 0 meV/atom
uncorrected formation energy: -1.205 eV per atom

A plane-wave DFT calculation with PBE was carried out for a relaxed BaSrI4 crystal.

a b c (Å): 10.0280 10.0280 10.0280
angles (deg): 33.77 33.77 33.77
With the nearest neighbours (Å) after each atom.
Fractional positions:
Ba 0.0000 0.0000 0.0000  8 I 3.59-3.63
Sr 0.5000 0.5000 0.5000  8 I 3.46-3.54
I 0.1281 0.1281 0.1281  3 Sr 3.54, 1 Ba 3.63
I 0.3781 0.3781 0.3781  1 Sr 3.46, 3 Ba 3.59
I 0.6219 0.6219 0.6219  1 Sr 3.46, 3 Ba 3.59
I 0.8719 0.8719 0.8719  3 Sr 3.54, 1 Ba 3.63

uncorrected formation energy: -1.715 eV per atom

A plane-wave DFT calculation with PBE was carried out for a relaxed HgIrCl4 crystal.

a b c (Å): 5.8210 5.8210 5.8210
angles (deg): 60.00 60.00 60.00
With the nearest neighbours (Å) after each atom.
Fractional positions:
Hg 0.0000 0.0000 0.0000  12 Cl 3.42, 4 Ir 3.56
Ir 0.7500 0.7500 0.7500  12 Cl 3.41, 4 Hg 3.56
Cl 0.3763 0.3763 0.3763  6 Cl 2.88-2.94
Cl 0.3763 0.3763 0.8712  6 Cl 2.88-2.94
Cl 0.3763 0.8712 0.3763  6 Cl 2.88-2.94
Cl 0.8712 0.3763 0.3763  6 Cl 2.88-2.94

uncorrected formation energy: 1.253 eV per atom

A plane-wave DFT calculation with PBE was carried out for a relaxed BaSr2In crystal.

a b c (Å): 13.5571 13.5571 13.5571
angles (deg): 157.34 157.34 32.26
With the nearest neighbours (Å) after each atom.
Fractional positions:
Ba 0.0000 0.0000 0.0000  4 In 3.77, 4 Sr 3.81
Ba 0.7500 0.2500 0.5000  4 In 3.77, 4 Sr 3.81
Sr 0.1486 0.6250 0.0236  4 Sr 3.59-3.95, 2 In 3.72, 2 Ba 3.81
Sr 0.3750 0.3986 0.5236  4 Sr 3.59-3.95, 2 In 3.72, 2 Ba 3.81
Sr 0.6014 0.1250 0.9764  4 Sr 3.59-3.95, 2 In 3.72, 2 Ba 3.81
Sr 0.8750 0.8514 0.4764  4 Sr 3.59-3.95, 2 In 3.72, 2 Ba 3.81
In 0.2500 0.7500 0.5000  4 Sr 3.72, 4 Ba 3.77
In 0.5000 0.5000 0.0000  4 Sr 3.72, 4 Ba 3.77

distance to the lowest polymorph of the same formula: 283 meV/atom

no.,total magnetic moment (μB per cell)
1,0.9
2,0.0
3,7.7
4,0.0
5,3.5
6,0.0
7,0.0
8,0.0
9,0.0
10,0.0
11,4.2
12,0.0